No. 1
A plane-wave DFT calculation with PBE was carried out for a relaxed structure of Ga2NiIrC.

Computed properties:
* VASP energy: -5.18 eV/atom
* calculated density: 7.39 g/cm³
* DOS at the Fermi energy: 4.002 states/eV per cell
* symmetry: P4/mmm, No. 123

Cell lengths 4.878, 3.798, 4.878 Å; angles 90.00, 90.00, 90.00 degrees
Sites, in units of the cell vectors:
Ni  0.500  0.500  0.500
C  0.000  0.500  0.000
Ir  0.000  0.000  0.000
Ga  0.000  0.000  0.500
Ga  0.500  0.000  0.000

=====

No. 2
A plane-wave DFT calculation with PBE was carried out for a relaxed structure of Ga2IrOsC.

Computed properties:
* VASP energy: -5.14 eV/atom
* calculated density: 8.17 g/cm³
* DOS at the Fermi energy: 3.390 states/eV per cell
* symmetry: P4/mmm, No. 123

Cell lengths 4.773, 4.762, 4.773 Å; angles 90.00, 90.00, 90.00 degrees
Sites, in units of the cell vectors:
Ir  0.000  0.500  0.000
Ga  0.000  0.000  0.500
Ga  0.500  0.000  0.000
Os  0.000  0.000  0.000
C  0.500  0.500  0.500